Record 1
VASP calculation (GGA-PBE) on Ca2CoTc after structural relaxation.

Cell lengths 3.1489, 3.1489, 27.5827 Å; angles 90.00, 90.00, 120.00 degrees
Space group R-3m (No. 166, hexagonal axes)
One atom of each set of equivalent atoms:
Ca  0.0000  0.0000  0.2455 [6 per cell]
Co  0.0000  0.0000  0.5000 [3 per cell]
Tc  0.0000  0.0000  0.0000 [3 per cell]

Calculated values
size of the total moment = 4.6 μB per cell
polymorph energy (0 for the lowest one) = 500 meV/atom

---

Record 2
VASP calculation (GGA-PBE) on CaCoTc after structural relaxation.

Cell lengths 7.103, 4.243, 7.009 Å; angles 90.00, 90.00, 90.00 degrees
Space group Pnma (No. 62)
One atom of each set of equivalent atoms:
Ca  0.007  0.250  0.172 [4 per cell]
Co  0.174  0.750  0.405 [4 per cell]
Tc  0.152  0.250  0.584 [4 per cell]

Calculated values
size of the total moment = 0.0 μB per cell
polymorph energy (0 for the lowest one) = 94 meV/atom

---

Record 3
VASP calculation (GGA-PBE) on Ca2CoTc after structural relaxation.

Cell lengths 4.156, 4.202, 8.949 Å; angles 90.00, 90.00, 90.00 degrees
Space group Cmmm (No. 65)
One atom of each set of equivalent atoms:
Ca  0.000  0.000  0.233 [4 per cell]
Co  0.000  0.500  0.000 [2 per cell]
Tc  0.000  0.500  0.500 [2 per cell]

Calculated values
size of the total moment = 2.9 μB per cell
polymorph energy (0 for the lowest one) = 379 meV/atom